Density functional theory data (PBE) for a geometry-optimized BaYFe3 structure.

POSCAR file:
```
BaYFe3
1.0
5.0162 0.0000 0.0000
0.0000 5.0162 0.0000
0.0000 0.0000 5.0162
Ba Y Fe
1 1 3
Direct
0.0000 0.0000 0.0000 Ba
0.5000 0.5000 0.5000 Y
0.0000 0.0000 0.5000 Fe
0.0000 0.5000 0.0000 Fe
0.5000 0.0000 0.0000 Fe
```

Results
distance to the lowest polymorph of the same formula = 570 meV per atom
N(E_F) = 12.7 states/eV/f.u.

***

Density functional theory data (PBE) for a geometry-optimized BaY2Fe structure.

POSCAR file:
```
BaY2Fe
1.0
-1.7331 2.3454 7.9232
1.7331 -2.3454 7.9232
1.7331 2.3454 -7.9232
Ba Y Fe
1 2 1
Direct
0.0000 0.0000 0.0000 Ba
0.3213 0.3213 0.0000 Y
0.6763 0.1763 0.5000 Y
0.1865 0.6865 0.5000 Fe
```

Results
distance to the lowest polymorph of the same formula = 187 meV per atom
N(E_F) = 5.9 states/eV/f.u.